This record from the Alexandria database describes a relaxed Ho3BiSe2 crystal. The functional is PBE-GGA.

a b c (Å): 7.4257 10.8764 9.0409
angles (deg): 90.00 90.00 90.00
Space group Imma (No. 74)
Symmetry-distinct sites (fractional):
Ho: 0.2237 0.0000 0.0000 x8
Ho: 0.2500 0.2500 0.2500 x4
Bi: 0.0000 0.2500 0.9383 x4
Se: 0.0000 0.0502 0.2921 x8

- Formation energy (no corrections): -1103 meV per atom
- Energy: -5.200 eV per atom

=====

This record from the Alexandria database describes a relaxed Ho5Bi4Se crystal. The functional is PBE-GGA.

a b c (Å): 4.3963 4.3963 30.9543
angles (deg): 90.00 90.00 90.00
Space group I4/mmm (No. 139)
Symmetry-distinct sites (fractional):
Ho: 0.0000 0.0000 0.0000 x2
Ho: 0.0000 0.0000 0.2012 x4
Ho: 0.0000 0.0000 0.4065 x4
Bi: 0.0000 0.0000 0.0992 x4
Bi: 0.0000 0.0000 0.3029 x4
Se: 0.0000 0.0000 0.5000 x2

- Formation energy (no corrections): -991 meV per atom
- Energy: -5.181 eV per atom

=====

This record from the Alexandria database describes a relaxed Ho2BiSe4 crystal. The functional is PBE-GGA.

a b c (Å): 16.0762 4.0078 7.1891
angles (deg): 90.00 113.74 90.00
Space group C2/m (No. 12)
Symmetry-distinct sites (fractional):
Ho: 0.2398 0.0000 0.2471 x4
Bi: 0.0000 0.5000 0.5000 x2
Se: 0.1354 0.5000 0.3269 x4
Se: 0.1452 0.0000 0.8151 x4

- Formation energy (no corrections): -1314 meV per atom
- Energy: -5.167 eV per atom

=====

This record from the Alexandria database describes a relaxed Ho3BiSe crystal. The functional is PBE-GGA.

a b c (Å): 8.9523 6.6676 10.4942
angles (deg): 90.00 111.93 90.00
Space group P2_1/c (No. 14)
Symmetry-distinct sites (fractional):
Ho: 0.0385 0.1118 0.3251 x4
Ho: 0.1943 0.5729 0.5311 x4
Ho: 0.4041 0.1741 0.8431 x4
Bi: 0.3503 0.6811 0.8453 x4
Se: 0.1047 0.2129 0.6034 x4

- Formation energy (no corrections): -873 meV per atom
- Energy: -5.092 eV per atom

=====

This record from the Alexandria database describes a relaxed HoBiSe crystal. The functional is PBE-GGA.

a b c (Å): 3.8048 3.8048 23.4688
angles (deg): 90.00 90.00 90.00
Space group I4/mmm (No. 139)
Symmetry-distinct sites (fractional):
Ho: 0.0000 0.0000 0.1629 x4
Bi: 0.0000 0.0000 0.4348 x4
Se: 0.0000 0.0000 0.2950 x4

- Formation energy (no corrections): -1097 meV per atom
- Energy: -5.078 eV per atom

=====

This record from the Alexandria database describes a relaxed Ho6BiSe4 crystal. The functional is PBE-GGA.

a b c (Å): 4.0714 13.2222 20.8561
angles (deg): 90.00 90.00 90.00
Space group Cmcm (No. 63)
Symmetry-distinct sites (fractional):
Ho: 0.0000 0.0000 0.0000 x4
Ho: 0.0000 0.1459 0.2500 x4
Ho: 0.0000 0.2707 0.5937 x8
Ho: 0.0000 0.4487 0.1625 x8
Bi: 0.0000 0.1750 0.7500 x4
Se: 0.0000 0.0858 0.1224 x8
Se: 0.0000 0.3576 0.0364 x8

- Formation energy (no corrections): -1403 meV per atom
- Energy: -5.520 eV per atom

=====

This record from the Alexandria database describes a relaxed HoBi3Se6 crystal. The functional is PBE-GGA.

a b c (Å): 12.1812 4.1228 12.2707
angles (deg): 90.00 107.49 90.00
Space group P2_1/m (No. 11)
Symmetry-distinct sites (fractional):
Ho: 0.1874 0.2500 0.0371 x2
Bi: 0.0260 0.7500 0.2983 x2
Bi: 0.3367 0.2500 0.4307 x2
Bi: 0.4050 0.7500 0.8494 x2
Se: 0.0353 0.7500 0.9015 x2
Se: 0.1161 0.2500 0.4648 x2
Se: 0.2249 0.7500 0.2293 x2
Se: 0.2428 0.2500 0.8103 x2
Se: 0.3841 0.7500 0.0697 x2
Se: 0.4149 0.7500 0.5929 x2

- Formation energy (no corrections): -734 meV per atom
- Energy: -4.447 eV per atom

=====

This record from the Alexandria database describes a relaxed Ho4SnBiSe2 crystal. The functional is PBE-GGA.

a b c (Å): 7.3368 4.2590 7.3868
angles (deg): 90.00 109.52 90.00
Space group P2/m (No. 10)
Symmetry-distinct sites (fractional):
Ho: 0.2383 0.0000 0.2391 x2
Ho: 0.2419 0.5000 0.7530 x2
Sn: 0.5000 0.0000 0.0000 x1
Bi: 0.5000 0.5000 0.5000 x1
Se: 0.0000 0.0000 0.5000 x1
Se: 0.0000 0.5000 0.0000 x1

- Formation energy (no corrections): -1237 meV per atom
- Energy: -5.382 eV per atom

=====

This record from the Alexandria database describes a relaxed Ho6Sn2BiSe3 crystal. The functional is PBE-GGA.

a b c (Å): 18.4819 4.2522 8.4940
angles (deg): 90.00 102.83 90.00
Space group C2/m (No. 12)
Symmetry-distinct sites (fractional):
Ho: 0.0005 0.0000 0.2615 x4
Ho: 0.1657 0.5000 0.5868 x4
Ho: 0.1710 0.5000 0.0844 x4
Sn: 0.1669 0.0000 0.3339 x4
Bi: 0.0000 0.5000 0.0000 x2
Se: 0.0000 0.5000 0.5000 x2
Se: 0.1650 0.0000 0.8338 x4

- Formation energy (no corrections): -1224 meV per atom
- Energy: -5.375 eV per atom

=====

This record from the Alexandria database describes a relaxed Ho6Bi2Te3Se crystal. The functional is PBE-GGA.

a b c (Å): 19.0051 4.3278 8.6705
angles (deg): 90.00 103.31 90.00
Space group C2/m (No. 12)
Symmetry-distinct sites (fractional):
Ho: 0.0017 0.0000 0.2802 x4
Ho: 0.1515 0.5000 0.5748 x4
Ho: 0.1644 0.5000 0.0825 x4
Bi: 0.1667 0.0000 0.8326 x4
Te: 0.0000 0.5000 0.0000 x2
Te: 0.1715 0.0000 0.3372 x4
Se: 0.0000 0.5000 0.5000 x2

- Formation energy (no corrections): -1199 meV per atom
- Energy: -5.210 eV per atom

=====

This record from the Alexandria database describes a relaxed Ho4Bi2TeSe crystal. The functional is PBE-GGA.

a b c (Å): 7.4845 4.3451 7.5210
angles (deg): 90.00 109.64 90.00
Space group P2/m (No. 10)
Symmetry-distinct sites (fractional):
Ho: 0.2347 0.0000 0.2347 x2
Ho: 0.2419 0.5000 0.7575 x2
Bi: 0.5000 0.0000 0.0000 x1
Bi: 0.5000 0.5000 0.5000 x1
Te: 0.0000 0.0000 0.5000 x1
Se: 0.0000 0.5000 0.0000 x1

- Formation energy (no corrections): -1146 meV per atom
- Energy: -5.233 eV per atom

=====

This record from the Alexandria database describes a relaxed Ho6BiTe3Se2 crystal. The functional is PBE-GGA.

a b c (Å): 7.3506 12.7357 7.4722
angles (deg): 90.00 109.25 90.00
Space group C2/m (No. 12)
Symmetry-distinct sites (fractional):
Ho: 0.2176 0.0000 0.2199 x4
Ho: 0.2462 0.1763 0.7727 x8
Bi: 0.0000 0.5000 0.0000 x2
Te: 0.0000 0.0000 0.5000 x2
Te: 0.0000 0.3411 0.5000 x4
Se: 0.0000 0.1690 0.0000 x4

- Formation energy (no corrections): -1341 meV per atom
- Energy: -5.319 eV per atom